[1]
{
  "formula": "Pr2MgPb8",
  "functional": "PBE",
  "state": "relaxed",
  "lattice": [[4.869, 0.000, 0.000], [0.000, 4.869, 0.000], [0.000, 0.000, 14.132]],
  "species": ["Pr", "Pr", "Mg", "Pb", "Pb", "Pb", "Pb", "Pb", "Pb", "Pb", "Pb"],
  "fractional_positions": [[0.000, 0.000, 0.172], [0.000, 0.000, 0.828], [0.000, 0.000, 0.500], [0.000, 0.500, 0.000], [0.000, 0.500, 0.363], [0.000, 0.500, 0.637], [0.500, 0.000, 0.000], [0.500, 0.000, 0.363], [0.500, 0.000, 0.637], [0.500, 0.500, 0.186], [0.500, 0.500, 0.814]],
  "space_group": "No. 123",
  "dos_at_fermi_per_ev_cell": 6.19,
  "rho_g_cm3": 9.732,
  "formation_energy_ev_per_atom": -0.26
}

[2]
{
  "formula": "CeTc2Ge",
  "functional": "PBE",
  "state": "relaxed",
  "lattice": [[4.247, 0.000, 0.000], [-2.123, 3.678, 0.000], [0.000, 0.000, 15.497]],
  "species": ["Ce", "Ce", "Ce", "Tc", "Tc", "Tc", "Tc", "Tc", "Tc", "Ge", "Ge", "Ge"],
  "fractional_positions": [[0.000, 0.000, 0.000], [0.333, 0.667, 0.667], [0.667, 0.333, 0.333], [0.000, 0.000, 0.491], [0.000, 0.000, 0.795], [0.333, 0.667, 0.158], [0.333, 0.667, 0.462], [0.667, 0.333, 0.128], [0.667, 0.333, 0.825], [0.000, 0.000, 0.214], [0.333, 0.667, 0.881], [0.667, 0.333, 0.548]],
  "relative_energy_ev_per_atom": 0.000,
  "space_group": "No. 160",
  "dos_at_fermi_per_ev_cell": 14.78,
  "rho_g_cm3": 8.413,
  "formation_energy_ev_per_atom": -0.27
}

[3]
{
  "formula": "KSr5Tl6",
  "functional": "PBE",
  "state": "relaxed",
  "lattice": [[5.830, 0.000, 0.000], [0.000, 8.195, 0.000], [-2.844, 0.000, 8.777]],
  "species": ["K", "Sr", "Sr", "Sr", "Sr", "Sr", "Tl", "Tl", "Tl", "Tl", "Tl", "Tl"],
  "fractional_positions": [[0.000, 0.000, 0.000], [0.000, 0.500, 0.000], [0.335, 0.500, 0.669], [0.336, 0.000, 0.671], [0.664, 0.000, 0.329], [0.665, 0.500, 0.331], [0.169, 0.256, 0.339], [0.169, 0.744, 0.339], [0.500, 0.262, 0.000], [0.500, 0.738, 0.000], [0.831, 0.256, 0.661], [0.831, 0.744, 0.661]],
  "space_group": "No. 10",
  "dos_at_fermi_per_ev_cell": 8.60,
  "rho_g_cm3": 6.746,
  "formation_energy_ev_per_atom": -0.35
}

[4]
{
  "formula": "SrMg3B",
  "functional": "PBE",
  "state": "relaxed",
  "lattice": [[4.866, 0.000, 0.000], [0.000, 4.866, 0.000], [0.000, 0.000, 4.866]],
  "species": ["Sr", "Mg", "Mg", "Mg", "B"],
  "fractional_positions": [[0.000, 0.000, 0.000], [0.000, 0.500, 0.500], [0.500, 0.000, 0.500], [0.500, 0.500, 0.000], [0.500, 0.500, 0.500]],
  "relative_energy_ev_per_atom": 0.000,
  "space_group": "No. 221",
  "dos_at_fermi_per_ev_cell": 4.20,
  "rho_g_cm3": 2.470,
  "formation_energy_ev_per_atom": 0.28
}

[5]
{
  "formula": "NiCl5",
  "functional": "PBE",
  "state": "relaxed",
  "lattice": [[8.070, 0.000, 0.000], [0.000, 3.284, 0.000], [0.000, 0.000, 12.246]],
  "species": ["Ni", "Ni", "Cl", "Cl", "Cl", "Cl", "Cl", "Cl", "Cl", "Cl", "Cl", "Cl"],
  "fractional_positions": [[0.000, 0.000, 0.000], [0.000, 0.500, 0.500], [0.000, 0.000, 0.382], [0.000, 0.000, 0.618], [0.000, 0.500, 0.118], [0.000, 0.500, 0.882], [0.500, 0.000, 0.126], [0.500, 0.000, 0.459], [0.500, 0.000, 0.793], [0.500, 0.500, 0.293], [0.500, 0.500, 0.626], [0.500, 0.500, 0.959]],
  "relative_energy_ev_per_atom": 0.185,
  "e_form_raw_ev_per_atom": -0.042,
  "space_group": "No. 38",
  "dos_at_fermi_per_ev_cell": 7.70,
  "rho_g_cm3": 2.415
}

[6]
{
  "formula": "ThCd2Hg",
  "functional": "PBE",
  "state": "relaxed",
  "lattice": [[4.809, 0.000, 0.000], [0.000, 6.404, 0.000], [0.000, 0.000, 6.601]],
  "species": ["Th", "Th", "Cd", "Cd", "Cd", "Cd", "Hg", "Hg"],
  "fractional_positions": [[0.250, 0.250, 0.097], [0.750, 0.750, 0.903], [0.250, 0.509, 0.638], [0.250, 0.991, 0.638], [0.750, 0.009, 0.362], [0.750, 0.491, 0.362], [0.250, 0.750, 0.226], [0.750, 0.250, 0.774]],
  "relative_energy_ev_per_atom": 0.000,
  "space_group": "No. 59",
  "dos_at_fermi_per_ev_cell": 5.44,
  "rho_g_cm3": 10.740,
  "formation_energy_ev_per_atom": -0.17
}

[7]
{
  "formula": "MgIn2CuPb",
  "functional": "PBE",
  "state": "relaxed",
  "lattice": [[5.093, 0.000, 0.000], [0.000, 5.093, 0.000], [0.000, 0.000, 4.993]],
  "species": ["Mg", "In", "In", "Cu", "Pb"],
  "fractional_positions": [[0.000, 0.000, 0.000], [0.000, 0.500, 0.500], [0.500, 0.000, 0.500], [0.000, 0.000, 0.500], [0.500, 0.500, 0.000]],
  "space_group": "No. 123",
  "dos_at_fermi_per_ev_cell": 2.23,
  "rho_g_cm3": 6.727,
  "formation_energy_ev_per_atom": 0.12
}